# ScInP2I (PBE-GGA, relaxed)
# Calculated total energy = -18.1 eV per formula unit
# Calculated density = 4.0 g cm⁻³
data_ScInP2I
_chemical_formula_sum 'Sc1 In1 P2 I1'
_space_group_name_H-M_alt 'P 4/m m m'
_space_group_IT_number 123
_space_group_name_Hall '-P 4 2'
_cell_length_a 4.9212
_cell_length_b 4.9212
_cell_length_c 5.9842
_cell_angle_alpha 90.00
_cell_angle_beta 90.00
_cell_angle_gamma 90.00
loop_
_atom_site_label
_atom_site_fract_x
_atom_site_fract_y
_atom_site_fract_z
_atom_site_occupancy
Sc1 0.0000 0.0000 0.0000 1
In1 0.0000 0.0000 0.5000 1
P1 0.0000 0.5000 0.5000 1
I1 0.5000 0.5000 0.0000 1

# Tb8ErTl2 (PBE-GGA, relaxed)
# Calculated total energy = -46.4 eV per formula unit
# Energy above the lowest structure with this stoichiometry = 0.87 eV/f.u.
# DFT formation energy = -0.01 eV/atom
# Calculated density = 8.8 g cm⁻³
data_Tb8ErTl2
_chemical_formula_sum 'Tb16 Er2 Tl4'
_space_group_name_H-M_alt 'C 1 2/m 1'
_space_group_IT_number 12
_cell_length_a 8.8832
_cell_length_b 15.2509
_cell_length_c 5.6179
_cell_angle_alpha 90.00
_cell_angle_beta 114.24
_cell_angle_gamma 90.00
loop_
_space_group_symop_operation_xyz
'x,y,z'
'-x,-y,-z'
'-x,y,-z'
'x,-y,z'
'x+1/2,y+1/2,z'
'-x+1/2,-y+1/2,-z'
'-x+1/2,y+1/2,-z'
'x+1/2,-y+1/2,z'
loop_
_atom_site_label
_atom_site_fract_x
_atom_site_fract_y
_atom_site_fract_z
_atom_site_occupancy
Tb1 0.0000 0.2166 0.0000 1
Tb2 0.0988 0.5000 0.7968 1
Tb3 0.2079 0.1129 0.6177 1
Er1 0.0000 0.0000 0.0000 1
Tl1 0.0000 0.3061 0.5000 1

# K3Na9Pb2 (PBE-GGA, relaxed)
# Calculated total energy = -23.1 eV per formula unit
# DFT formation energy = -0.04 eV/atom
# Calculated density = 2.2 g cm⁻³
data_K3Na9Pb2
_chemical_formula_sum 'K6 Na18 Pb4'
_space_group_name_H-M_alt 'I m m m'
_space_group_IT_number 71
_space_group_name_Hall '-I 2 2'
_cell_length_a 5.6838
_cell_length_b 13.2367
_cell_length_c 15.1150
_cell_angle_alpha 90.00
_cell_angle_beta 90.00
_cell_angle_gamma 90.00
loop_
_atom_site_label
_atom_site_fract_x
_atom_site_fract_y
_atom_site_fract_z
_atom_site_occupancy
K1 0.0000 0.0000 0.0000 1
K2 0.0000 0.0000 0.2973 1
Na1 0.0000 0.2911 0.1193 1
Na2 0.0000 0.3538 0.3654 1
Na3 0.0000 0.5000 0.0000 1
Pb1 0.0000 0.1539 0.5000 1

# MgScSb2I (PBE-GGA, relaxed)
# Calculated total energy = -16.4 eV per formula unit
# Energy above the lowest structure with this stoichiometry = 1.31 eV/f.u.
# Calculated density = 4.6 g cm⁻³
data_MgScSb2I
_chemical_formula_sum 'Mg1 Sc1 Sb2 I1'
_space_group_name_H-M_alt 'P 4/m m m'
_space_group_IT_number 123
_space_group_name_Hall '-P 4 2'
_cell_length_a 5.3279
_cell_length_b 5.3279
_cell_length_c 5.6416
_cell_angle_alpha 90.00
_cell_angle_beta 90.00
_cell_angle_gamma 90.00
loop_
_atom_site_label
_atom_site_fract_x
_atom_site_fract_y
_atom_site_fract_z
_atom_site_occupancy
Mg1 0.0000 0.0000 0.0000 1
Sc1 0.5000 0.5000 0.5000 1
Sb1 0.0000 0.5000 0.0000 1
I1 0.0000 0.0000 0.5000 1

# CePaFe (PBE-GGA, relaxed)
# Calculated total energy = -24.0 eV per formula unit
# Energy above the lowest structure with this stoichiometry = 0.17 eV/f.u.
# DFT formation energy = -0.04 eV/atom
# Calculated density = 11.1 g cm⁻³
data_CePaFe
_chemical_formula_sum 'Ce4 Pa4 Fe4'
_space_group_name_H-M_alt 'P 1 21/c 1'
_space_group_IT_number 14
_cell_length_a 6.4459
_cell_length_b 6.1268
_cell_length_c 6.6418
_cell_angle_alpha 90.00
_cell_angle_beta 103.22
_cell_angle_gamma 90.00
loop_
_space_group_symop_operation_xyz
'x,y,z'
'-x,-y,-z'
'-x,y+1/2,-z+1/2'
'x,-y+1/2,z+1/2'
loop_
_atom_site_label
_atom_site_fract_x
_atom_site_fract_y
_atom_site_fract_z
_atom_site_occupancy
Ce1 0.1081 0.1266 0.3143 1
Pa1 0.3555 0.6648 0.5481 1
Fe1 0.3792 0.0745 0.6238 1

# LiYCuS2 (PBE-GGA, relaxed)
# Calculated total energy = -25.9 eV per formula unit
# Calculated density = 3.5 g cm⁻³
data_LiYCuS2
_chemical_formula_sum 'Li2 Y2 Cu2 S4'
_space_group_name_H-M_alt 'P c c m'
_space_group_IT_number 49
_cell_length_a 5.3932
_cell_length_b 5.5510
_cell_length_c 7.0433
_cell_angle_alpha 90.00
_cell_angle_beta 90.00
_cell_angle_gamma 90.00
loop_
_space_group_symop_operation_xyz
'x,y,z'
'-x,-y,-z'
'-x,-y,z'
'x,y,-z'
'x,-y,-z+1/2'
'-x,y,z+1/2'
'-x,y,-z+1/2'
'x,-y,z+1/2'
loop_
_atom_site_label
_atom_site_fract_x
_atom_site_fract_y
_atom_site_fract_z
_atom_site_occupancy
Li1 0.0000 0.0000 0.2500 1
Y1 0.5000 0.5000 0.2500 1
Cu1 0.0000 0.5000 0.0000 1
S1 0.2693 0.2096 0.0000 1

# HoSi4Ni4 (PBE-GGA, relaxed)
# Calculated total energy = -54.8 eV per formula unit
# Calculated density = 6.9 g cm⁻³
data_HoSi4Ni4
_chemical_formula_sum 'Ho2 Si8 Ni8'
_space_group_name_H-M_alt 'P 42/n m c'
_space_group_IT_number 137
_cell_length_a 5.6279
_cell_length_b 5.6279
_cell_length_c 7.7888
_cell_angle_alpha 90.00
_cell_angle_beta 90.00
_cell_angle_gamma 90.00
loop_
_space_group_symop_operation_xyz
'x,y,z'
'-x,-y,-z'
'-y+1/2,x,z+1/2'
'y+1/2,-x,-z+1/2'
'-x+1/2,-y+1/2,z'
'x+1/2,y+1/2,-z'
'y,-x+1/2,z+1/2'
'-y,x+1/2,-z+1/2'
'x+1/2,-y,-z'
'-x+1/2,y,z'
'-y,-x,-z+1/2'
'y,x,z+1/2'
'-x,y+1/2,-z'
'x,-y+1/2,z'
'y+1/2,x+1/2,-z+1/2'
'-y+1/2,-x+1/2,z+1/2'
loop_
_atom_site_label
_atom_site_fract_x
_atom_site_fract_y
_atom_site_fract_z
_atom_site_occupancy
Ho1 0.2500 0.7500 0.2500 1
Si1 0.0388 0.2500 0.0692 1
Ni1 0.0235 0.2500 0.3637 1

# Li5Zn3Ir (PBE-GGA, relaxed)
# Calculated total energy = -21.8 eV per formula unit
# DFT formation energy = 0.05 eV/atom
# Calculated density = 4.4 g cm⁻³
data_Li5Zn3Ir
_chemical_formula_sum 'Li20 Zn12 Ir4'
_space_group_name_H-M_alt 'C 1 2/m 1'
_space_group_IT_number 12
_cell_length_a 10.6744
_cell_length_b 7.3332
_cell_length_c 9.1613
_cell_angle_alpha 90.00
_cell_angle_beta 115.80
_cell_angle_gamma 90.00
loop_
_space_group_symop_operation_xyz
'x,y,z'
'-x,-y,-z'
'-x,y,-z'
'x,-y,z'
'x+1/2,y+1/2,z'
'-x+1/2,-y+1/2,-z'
'-x+1/2,y+1/2,-z'
'x+1/2,-y+1/2,z'
loop_
_atom_site_label
_atom_site_fract_x
_atom_site_fract_y
_atom_site_fract_z
_atom_site_occupancy
Li1 0.0000 0.1804 0.0000 1
Li2 0.0178 0.0000 0.2683 1
Li3 0.2449 0.0000 0.8760 1
Li4 0.2465 0.3089 0.6334 1
Zn1 0.0000 0.5000 0.0000 1
Zn2 0.0000 0.5000 0.5000 1
Zn3 0.1303 0.0000 0.5635 1
Zn4 0.1519 0.5000 0.8192 1
Ir1 0.1132 0.5000 0.3069 1